Entry 1:
A relaxed SmEuSn crystal. Source: the Alexandria database, functional GGA-PBE.

The calculation puts the formation energy from the elements at 12 meV/atom. The volume is 36.54 Å³/atom. The value obtained for the energy above the most stable polymorph in this dataset is 0.450 eV per atom.

The structure in POSCAR format:
```
SmEuSn
1.0
-1.7592 1.7592 8.8541
1.7592 -1.7592 8.8541
1.7592 1.7592 -8.8541
Sm Eu Sn
1 1 1
Cartesian
0.0000 0.0000 0.0000
0.0000 0.0000 14.1178
0.0000 0.0000 10.9285
```

=====

Entry 2:
A relaxed TaTl2Os crystal. Source: the Alexandria database, functional GGA-PBE.

The calculation puts the formation energy from the elements at 991 meV/atom. The volume is 19.86 Å³/atom. The value obtained for the energy above the most stable polymorph in this dataset is 0.692 eV per atom.

The structure in POSCAR format:
```
TaTl2Os
1.0
-2.0624 2.0624 4.6683
2.0624 -2.0624 4.6683
2.0624 2.0624 -4.6683
Ta Tl Os
1 2 1
Cartesian
0.0000 0.0000 0.0000
2.0624 0.0000 2.3341
0.0000 2.0624 2.3341
0.0000 0.0000 4.6683
```

=====

Entry 3:
A relaxed Tm4SiTe2As crystal. Source: the Alexandria database, functional GGA-PBE.

The volume is 26.14 Å³/atom. For the electronic total energy, the calculation gives -5.546 eV per atom.

The structure in POSCAR format:
```
Tm4SiTe2As
1.0
7.2145 0.0000 0.0000
0.0000 4.1608 0.0000
-2.3959 0.0000 6.9672
Tm Si Te As
4 1 2 1
Cartesian
1.1711 0.0000 1.5118
-0.0293 2.0804 5.4554
4.8479 2.0804 1.5118
3.6475 0.0000 5.4554
0.0000 2.0804 0.0000
-1.1979 0.0000 3.4836
2.4093 2.0804 3.4836
3.6072 0.0000 0.0000
```

=====

Entry 4:
A relaxed HgSb2TeH crystal. Source: the Alexandria database, functional GGA-PBE.

The volume is 36.51 Å³/atom. The value obtained for the energy above the most stable polymorph in this dataset is 0.694 eV per atom.

The structure in POSCAR format:
```
HgSb2TeH
1.0
5.5999 0.0000 0.0000
0.0000 5.5999 0.0000
0.0000 0.0000 5.8209
Hg Sb Te H
1 2 1 1
Cartesian
0.0000 0.0000 0.0000
0.0000 2.8000 0.0000
2.8000 0.0000 0.0000
0.0000 0.0000 2.9104
2.8000 2.8000 2.9104
```